(1)
Here is an optimized crystal structure of NaErIr2O8 from the Alexandria database. Energies are from PBE.

```
NaErIr2O8
1.0
5.729 0.000 0.000
-2.864 4.961 0.000
0.000 0.000 6.923
Na Er Ir O
1 1 2 8
Direct
0.000 0.000 0.000
0.000 0.000 0.500
0.333 0.667 0.457
0.667 0.333 0.543
0.066 0.385 0.627
0.319 0.934 0.627
0.333 0.667 0.196
0.385 0.319 0.373
0.615 0.681 0.627
0.667 0.333 0.804
0.681 0.066 0.373
0.934 0.615 0.373
```

## Properties
Volume ... 196.8 Å³ per cell
Energy relative to the elements, uncorrected ... -1031.4 meV/atom
Magnetic moment ... 1.67 μB/cell
Space-group type ... P-3, No. 147

(2)
Here is an optimized crystal structure of NaEr2IrO5 from the Alexandria database. Energies are from PBE.

```
NaEr2IrO5
1.0
-1.986 2.838 5.445
1.986 -2.838 5.445
1.986 2.838 -5.445
Na Er Ir O
1 2 1 5
Direct
0.000 0.000 0.000
0.291 0.791 0.500
0.709 0.209 0.500
0.500 0.500 0.000
0.121 0.350 0.771
0.421 0.650 0.771
0.500 0.000 0.500
0.579 0.350 0.229
0.879 0.650 0.229
```

## Properties
Volume ... 122.7 Å³ per cell
Energy relative to the elements, uncorrected ... -2283.2 meV/atom
Magnetic moment ... 0.00 μB/cell
Space-group type ... Immm, No. 71

(3)
Here is an optimized crystal structure of Na2ErIrO4 from the Alexandria database. Energies are from PBE.

```
Na2ErIrO4
1.0
5.303 0.000 0.000
0.000 3.321 0.000
-1.941 0.000 5.593
Na Er Ir O
2 1 1 4
Direct
0.000 0.000 0.000
0.500 0.500 0.000
0.000 0.500 0.500
0.500 0.000 0.500
0.247 0.000 0.722
0.291 0.500 0.293
0.709 0.500 0.707
0.753 0.000 0.278
```

## Properties
Volume ... 98.5 Å³ per cell
Energy relative to the elements, uncorrected ... -1880.2 meV/atom
Magnetic moment ... 0.00 μB/cell
Space-group type ... P2/m, No. 10

(4)
Here is an optimized crystal structure of Na3Er2IrO6 from the Alexandria database. Energies are from PBE.

```
Na3Er2IrO6
1.0
2.818 -4.870 0.000
2.818 4.870 0.000
-1.844 0.000 5.604
Na Er Ir O
3 2 1 6
Direct
0.000 0.000 0.000
0.343 0.657 0.000
0.657 0.343 0.000
0.167 0.833 0.500
0.833 0.167 0.500
0.500 0.500 0.500
0.108 0.428 0.284
0.248 0.248 0.713
0.428 0.108 0.284
0.572 0.892 0.716
0.752 0.752 0.287
0.892 0.572 0.716
```

## Properties
Volume ... 153.8 Å³ per cell
Energy relative to the elements, uncorrected ... -2185.0 meV/atom
Magnetic moment ... 0.00 μB/cell
Space-group type ... C2/m, No. 12

(5)
Here is an optimized crystal structure of Na2ErIrO6 from the Alexandria database. Energies are from PBE.

```
Na2ErIrO6
1.0
5.619 0.000 0.000
0.000 5.710 0.000
-5.575 0.000 8.026
Na Er Ir O
4 2 2 12
Direct
0.243 0.035 0.250
0.243 0.465 0.750
0.757 0.535 0.250
0.757 0.965 0.750
0.500 0.000 0.000
0.500 0.500 0.500
0.000 0.000 0.500
0.000 0.500 0.000
0.141 0.225 0.956
0.141 0.275 0.456
0.234 0.689 0.959
0.234 0.811 0.459
0.312 0.022 0.731
0.312 0.478 0.231
0.688 0.522 0.769
0.688 0.978 0.269
0.766 0.189 0.541
0.766 0.311 0.041
0.859 0.725 0.544
0.859 0.775 0.044
```

## Properties
Volume ... 257.5 Å³ per cell
Energy relative to the elements, uncorrected ... -1680.3 meV/atom
Magnetic moment ... 0.00 μB/cell
Space-group type ... P2_1/c, No. 14

(6)
Here is an optimized crystal structure of ErNbIr2 from the Alexandria database. Energies are from PBE.

```
ErNbIr2
1.0
4.860 0.000 0.000
0.000 4.860 0.000
0.000 0.000 3.021
Er Nb Ir
1 1 2
Direct
0.000 0.000 0.000
0.500 0.500 0.000
0.000 0.500 0.500
0.500 0.000 0.500
```

## Properties
Volume ... 71.4 Å³ per cell
Excess energy over the best structure of this formula in the dataset ... 0.0 kJ per mole of atoms
Magnetic moment ... 0.00 μB/cell
Space-group type ... P4/mmm, No. 123

(7)
Here is an optimized crystal structure of ErNbIr2 from the Alexandria database. Energies are from PBE.

```
ErNbIr2
1.0
2.246 1.297 4.333
-2.246 1.297 4.333
0.000 -2.594 4.333
Er Nb Ir
1 1 2
Direct
0.000 0.000 0.000
0.500 0.500 0.500
0.224 0.224 0.224
0.776 0.776 0.776
```

## Properties
Volume ... 75.7 Å³ per cell
Excess energy over the best structure of this formula in the dataset ... 2.8 kJ per mole of atoms
Magnetic moment ... 0.00 μB/cell
Space-group type ... R-3m, No. 166

(8)
Here is an optimized crystal structure of ErNbNiIr from the Alexandria database. Energies are from PBE.

```
ErNbNiIr
1.0
0.000 3.262 3.262
3.262 0.000 3.262
3.262 3.262 0.000
Er Nb Ni Ir
1 1 1 1
Direct
0.000 0.000 0.000
0.500 0.500 0.500
0.750 0.750 0.750
0.250 0.250 0.250
```

## Properties
Volume ... 69.4 Å³ per cell
Magnetic moment ... 0.00 μB/cell
Space-group type ... F-43m, No. 216

no.,E_tot (eV per formula unit)
1,-75.6
2,-64.6
3,-50.9
4,-77.9
5,-62.6
6,-34.4
7,-34.3
8,-30.6